An optimized crystal structure of ScAu2F. Source: Alexandria, functional GGA-PBE.

a = 7.6171 Å, b = 7.6171 Å, c = 5.9699 Å
α = 50.36°, β = 50.36°, γ = 90.00°
Element x y z (fractional)
Sc1 0.0000 0.0000 0.0000
Sc2 0.7500 0.2500 0.5000
Au1 0.6203 0.1250 0.2500
Au2 0.1297 0.6250 0.2500
Au3 0.3750 0.3797 0.7500
Au4 0.8750 0.8703 0.7500
F1 0.5000 0.5000 0.0000
F2 0.2500 0.7500 0.5000

Results
E_tot ... -4.73 eV/atom
Offset from the most stable computed form ... 0 meV per atom
ΔE_f (raw) ... -1040 meV per atom
Space-group type ... No. 122

An optimized crystal structure of NdCuRu. Source: Alexandria, functional GGA-PBE.

a = 5.5585 Å, b = 5.4050 Å, c = 4.3471 Å
α = 90.01°, β = 113.01°, γ = 84.79°
Element x y z (fractional)
Cu1 0.2935 0.0877 0.6242
Cu2 0.1292 0.8481 0.0414
Nd1 0.7287 0.0727 0.3413
Nd2 0.5465 0.5831 0.7502
Ru1 0.1147 0.3463 0.0347
Ru2 0.0054 0.5379 0.4802

Results
E_tot ... -6.15 eV/atom
Offset from the most stable computed form ... 81 meV per atom
Formation energy from the elements ... -0.102 eV/atom
Space-group type ... No. 8

An optimized crystal structure of CrPd4Au. Source: Alexandria, functional GGA-PBE.

a = 4.8786 Å, b = 6.3098 Å, c = 8.3855 Å
α = 77.45°, β = 90.15°, γ = 130.70°
Last column: magnetic moment on the atom in μB.
Element x y z (fractional)
Cr1 0.2500 0.0000 0.2500  3.24
Cr2 0.7500 0.0000 0.7500  3.24
Pd1 0.9964 0.4993 0.1676  0.05
Pd2 0.5036 0.5007 0.3324  0.05
Pd3 0.0036 0.5007 0.8324  0.05
Pd4 0.4964 0.4993 0.6676  0.05
Pd5 0.2482 0.9997 0.5837  -0.05
Pd6 0.2518 0.0003 0.9163  -0.05
Pd7 0.7518 0.0003 0.4163  -0.05
Pd8 0.7482 0.9997 0.0837  -0.05
Au1 0.5000 0.5000 0.0000  0.07
Au2 0.0000 0.5000 0.5000  0.07

Results
E_tot ... -5.67 eV/atom
Offset from the most stable computed form ... 0 meV per atom
Formation energy from the elements ... -0.059 eV/atom
Space-group type ... No. 2

An optimized crystal structure of BeNbAl. Source: Alexandria, functional GGA-PBE.

a = 5.4347 Å, b = 3.7654 Å, c = 9.0080 Å
α = 90.00°, β = 109.13°, γ = 90.00°
Element x y z (fractional)
Be1 0.5060 0.0000 0.0754
Be2 0.5060 0.5000 0.5754
Be3 0.8000 0.0000 0.7106
Be4 0.8000 0.5000 0.2106
Nb1 0.3249 0.0000 0.7439
Nb2 0.3249 0.5000 0.2439
Nb3 0.9889 0.0000 0.0516
Nb4 0.9889 0.5000 0.5516
Al1 0.6751 0.0000 0.3746
Al2 0.6751 0.5000 0.8746
Al3 0.1920 0.0000 0.4120
Al4 0.1920 0.5000 0.9120

Results
E_tot ... -5.95 eV/atom
Offset from the most stable computed form ... 247 meV per atom
Formation energy from the elements ... -0.107 eV/atom
Space-group type ... No. 8

The lowest E_tot belongs to which entry?
NdCuRu